HfVClO4: relaxed, PBE with a Hubbard U.

a b c (Å): 5.9652 5.9652 6.5169
angles (deg): 104.51 104.51 69.04
Fractional coordinates of all 14 atoms:
Hf  0.2339  0.2339  0.1090
Hf  0.7661  0.7661  0.8910
V  0.3613  0.3613  0.7212
V  0.6387  0.6387  0.2788
Cl  0.0116  0.0116  0.7724
Cl  0.9884  0.9884  0.2276
O  0.1038  0.4921  0.8531
O  0.2837  0.2837  0.4500
O  0.4561  0.4561  0.2129
O  0.4921  0.1038  0.8531
O  0.5079  0.8962  0.1469
O  0.5439  0.5439  0.7871
O  0.7163  0.7163  0.5500
O  0.8962  0.5079  0.1469

As for the crystal system: monoclinic. Its raw total energy is -7.954 eV/atom. The magnetization comes out at 0.00 μB/f.u.